(1)
Entry from the Open Quantum Materials Database: a relaxed InTcMo crystal (PBE-GGA).

Cell lengths 6.178, 6.178, 6.178 Å; angles 90.00, 90.00, 90.00 degrees
Fractional coordinates of all 12 atoms:
In 0.000 0.000 0.000
In 0.000 0.500 0.500
In 0.500 0.000 0.500
In 0.500 0.500 0.000
Tc 0.250 0.250 0.250
Tc 0.250 0.750 0.750
Tc 0.750 0.250 0.750
Tc 0.750 0.750 0.250
Mo 0.000 0.000 0.500
Mo 0.000 0.500 0.000
Mo 0.500 0.000 0.000
Mo 0.500 0.500 0.500

Calculated values
offset from the most stable computed form	0	meV per atom
M_tot	0.01	μB per cell
ρ	8.70	g/cm3
crystal system	cubic
final energy	-88.613	eV/cell

(2)
Entry from the Open Quantum Materials Database: a relaxed ThInMo crystal (PBE-GGA).

Cell lengths 6.935, 6.935, 6.935 Å; angles 90.00, 90.00, 90.00 degrees
Fractional coordinates of all 12 atoms:
Th 0.000 0.000 0.000
Th 0.000 0.500 0.500
Th 0.500 0.000 0.500
Th 0.500 0.500 0.000
In 0.000 0.000 0.500
In 0.000 0.500 0.000
In 0.500 0.000 0.000
In 0.500 0.500 0.500
Mo 0.250 0.250 0.750
Mo 0.250 0.750 0.250
Mo 0.750 0.250 0.250
Mo 0.750 0.750 0.750

Calculated values
offset from the most stable computed form	0	meV per atom
M_tot	1.01	μB per cell
ρ	8.82	g/cm3
crystal system	cubic
final energy	-78.442	eV/cell

(3)
Entry from the Open Quantum Materials Database: a relaxed ThIn3Mo2 crystal (PBE-GGA).

Cell lengths 5.752, 5.752, 4.698 Å; angles 90.00, 90.00, 120.00 degrees
Fractional coordinates of all 6 atoms:
Th 0.000 0.000 0.000
In 0.000 0.500 0.500
In 0.500 0.000 0.500
In 0.500 0.500 0.500
Mo 0.333 0.667 0.000
Mo 0.667 0.333 0.000

Calculated values
M_tot	0.02	μB per cell
ρ	9.48	g/cm3
crystal system	hexagonal
final energy	-35.795	eV/cell

(4)
Entry from the Open Quantum Materials Database: a relaxed TlIn2Mo crystal (PBE-GGA).

Cell lengths 7.189, 7.189, 7.189 Å; angles 90.00, 90.00, 90.00 degrees
Fractional coordinates of all 16 atoms:
Tl 0.000 0.000 0.000
Tl 0.000 0.500 0.500
Tl 0.500 0.000 0.500
Tl 0.500 0.500 0.000
In 0.000 0.000 0.500
In 0.000 0.500 0.000
In 0.250 0.250 0.750
In 0.250 0.750 0.250
In 0.500 0.000 0.000
In 0.500 0.500 0.500
In 0.750 0.250 0.250
In 0.750 0.750 0.750
Mo 0.250 0.250 0.250
Mo 0.250 0.750 0.750
Mo 0.750 0.250 0.750
Mo 0.750 0.750 0.250

Calculated values
M_tot	11.01	μB per cell
ρ	9.47	g/cm3
crystal system	cubic
final energy	-62.552	eV/cell

(5)
Entry from the Open Quantum Materials Database: a relaxed In8Mo2W crystal (PBE-GGA).

Cell lengths 5.477, 5.477, 11.260 Å; angles 99.32, 99.32, 42.26 degrees
Fractional coordinates of all 11 atoms:
In 0.041 0.041 0.322
In 0.128 0.128 0.963
In 0.225 0.225 0.589
In 0.313 0.313 0.217
In 0.687 0.687 0.783
In 0.775 0.775 0.411
In 0.872 0.872 0.037
In 0.959 0.959 0.678
Mo 0.405 0.405 0.840
Mo 0.595 0.595 0.160
W 0.500 0.500 0.500

Calculated values
M_tot	0.01	μB per cell
ρ	9.61	g/cm3
crystal system	monoclinic
final energy	-52.110	eV/cell

(6)
Entry from the Open Quantum Materials Database: a relaxed InMo2W crystal (PBE-GGA).

Cell lengths 6.479, 6.479, 6.479 Å; angles 90.00, 90.00, 90.00 degrees
Fractional coordinates of all 16 atoms:
In 0.000 0.000 0.000
In 0.000 0.500 0.500
In 0.500 0.000 0.500
In 0.500 0.500 0.000
Mo 0.000 0.000 0.500
Mo 0.000 0.500 0.000
Mo 0.250 0.250 0.750
Mo 0.250 0.750 0.250
Mo 0.500 0.000 0.000
Mo 0.500 0.500 0.500
Mo 0.750 0.250 0.250
Mo 0.750 0.750 0.750
W 0.250 0.250 0.250
W 0.250 0.750 0.750
W 0.750 0.250 0.750
W 0.750 0.750 0.250

Calculated values
M_tot	0.02	μB per cell
ρ	11.98	g/cm3
crystal system	cubic
final energy	-141.690	eV/cell

(7)
Entry from the Open Quantum Materials Database: a relaxed Y2InMo crystal (PBE-GGA).

Cell lengths 7.187, 7.187, 7.187 Å; angles 90.00, 90.00, 90.00 degrees
Fractional coordinates of all 16 atoms:
Y 0.000 0.000 0.000
Y 0.000 0.500 0.500
Y 0.250 0.250 0.250
Y 0.250 0.750 0.750
Y 0.500 0.000 0.500
Y 0.500 0.500 0.000
Y 0.750 0.250 0.750
Y 0.750 0.750 0.250
In 0.000 0.000 0.500
In 0.000 0.500 0.000
In 0.500 0.000 0.000
In 0.500 0.500 0.500
Mo 0.250 0.250 0.750
Mo 0.250 0.750 0.250
Mo 0.750 0.250 0.250
Mo 0.750 0.750 0.750

Calculated values
M_tot	5.11	μB per cell
ρ	6.95	g/cm3
crystal system	cubic
final energy	-102.664	eV/cell

(8)
Entry from the Open Quantum Materials Database: a relaxed YInMo2 crystal (PBE-GGA).

Cell lengths 6.794, 6.794, 6.794 Å; angles 90.00, 90.00, 90.00 degrees
Fractional coordinates of all 16 atoms:
Y 0.000 0.000 0.000
Y 0.000 0.500 0.500
Y 0.500 0.000 0.500
Y 0.500 0.500 0.000
In 0.250 0.250 0.750
In 0.250 0.750 0.250
In 0.750 0.250 0.250
In 0.750 0.750 0.750
Mo 0.000 0.000 0.500
Mo 0.000 0.500 0.000
Mo 0.250 0.250 0.250
Mo 0.250 0.750 0.750
Mo 0.500 0.000 0.000
Mo 0.500 0.500 0.500
Mo 0.750 0.250 0.750
Mo 0.750 0.750 0.250

Calculated values
M_tot	0.01	μB per cell
ρ	8.38	g/cm3
crystal system	cubic
final energy	-119.834	eV/cell

(9)
Entry from the Open Quantum Materials Database: a relaxed YInMo crystal (PBE-GGA).

Cell lengths 6.968, 6.968, 6.968 Å; angles 90.00, 90.00, 90.00 degrees
Fractional coordinates of all 12 atoms:
Y 0.000 0.000 0.000
Y 0.000 0.500 0.500
Y 0.500 0.000 0.500
Y 0.500 0.500 0.000
In 0.250 0.250 0.750
In 0.250 0.750 0.250
In 0.750 0.250 0.250
In 0.750 0.750 0.750
Mo 0.250 0.250 0.250
Mo 0.250 0.750 0.750
Mo 0.750 0.250 0.750
Mo 0.750 0.750 0.250

Calculated values
M_tot	13.11	μB per cell
ρ	5.88	g/cm3
crystal system	cubic
final energy	-67.061	eV/cell

(10)
Entry from the Open Quantum Materials Database: a relaxed Nb2InN2 crystal (PBE-GGA).

Cell lengths 6.275, 6.275, 6.275 Å; angles 123.77, 123.77, 83.58 degrees
Fractional coordinates of all 10 atoms:
Nb 0.000 0.000 0.000
Nb 0.000 0.000 0.500
Nb 0.000 0.500 0.000
Nb 0.500 0.000 0.500
In 0.375 0.625 0.750
In 0.625 0.375 0.250
N 0.148 0.398 0.750
N 0.398 0.148 0.250
N 0.602 0.852 0.750
N 0.852 0.602 0.250

Calculated values
M_tot	0.02	μB per cell
ρ	6.67	g/cm3
crystal system	tetragonal
final energy	-74.714	eV/cell

(11)
Entry from the Open Quantum Materials Database: a relaxed Nb4InPbN2 crystal (PBE-GGA).

Cell lengths 3.275, 3.275, 13.977 Å; angles 90.00, 90.00, 120.00 degrees
Fractional coordinates of all 8 atoms:
Nb 0.000 0.000 0.169
Nb 0.000 0.000 0.831
Nb 0.333 0.667 0.327
Nb 0.333 0.667 0.673
In 0.333 0.667 0.000
Pb 0.000 0.000 0.500
N 0.667 0.333 0.249
N 0.667 0.333 0.751

Calculated values
M_tot	0.01	μB per cell
ρ	9.23	g/cm3
crystal system	hexagonal
final energy	-67.073	eV/cell

(12)
Entry from the Open Quantum Materials Database: a relaxed Nb4InSN2 crystal (PBE-GGA).

Cell lengths 3.109, 3.109, 13.702 Å; angles 90.00, 90.00, 120.00 degrees
Fractional coordinates of all 8 atoms:
Nb 0.000 0.000 0.131
Nb 0.000 0.000 0.869
Nb 0.667 0.333 0.322
Nb 0.667 0.333 0.678
In 0.000 0.000 0.500
S 0.667 0.333 0.000
N 0.333 0.667 0.228
N 0.333 0.667 0.772

Calculated values
M_tot	0.01	μB per cell
ρ	7.91	g/cm3
crystal system	hexagonal
final energy	-69.225	eV/cell

(13)
Entry from the Open Quantum Materials Database: a relaxed Nb4InSN2 crystal (PBE-GGA).

Cell lengths 3.109, 3.109, 13.703 Å; angles 90.00, 90.00, 120.00 degrees
Fractional coordinates of all 8 atoms:
Nb 0.000 0.000 0.131
Nb 0.000 0.000 0.869
Nb 0.333 0.667 0.322
Nb 0.333 0.667 0.678
In 0.000 0.000 0.500
S 0.333 0.667 0.000
N 0.667 0.333 0.228
N 0.667 0.333 0.772

Calculated values
M_tot	0.01	μB per cell
ρ	7.91	g/cm3
crystal system	hexagonal
final energy	-69.224	eV/cell

(14)
Entry from the Open Quantum Materials Database: a relaxed Nb4InSbN2 crystal (PBE-GGA).

Cell lengths 3.275, 3.275, 13.663 Å; angles 90.00, 90.00, 120.00 degrees
Fractional coordinates of all 8 atoms:
Nb 0.000 0.000 0.164
Nb 0.000 0.000 0.836
Nb 0.333 0.667 0.327
Nb 0.333 0.667 0.673
In 0.000 0.000 0.500
Sb 0.333 0.667 0.000
N 0.667 0.333 0.245
N 0.667 0.333 0.755

Calculated values
M_tot	0.00	μB per cell
ρ	8.32	g/cm3
crystal system	hexagonal
final energy	-68.014	eV/cell

(15)
Entry from the Open Quantum Materials Database: a relaxed Sc4Nb2In3N3 crystal (PBE-GGA).

Cell lengths 5.634, 5.634, 14.784 Å; angles 100.85, 100.85, 60.26 degrees
Fractional coordinates of all 24 atoms:
Sc 0.031 0.192 0.083
Sc 0.136 0.306 0.417
Sc 0.192 0.031 0.583
Sc 0.306 0.136 0.917
Sc 0.694 0.864 0.083
Sc 0.808 0.969 0.417
Sc 0.864 0.694 0.583
Sc 0.969 0.808 0.917
Nb 0.359 0.525 0.074
Nb 0.475 0.641 0.426
Nb 0.525 0.359 0.574
Nb 0.641 0.475 0.926
In 0.102 0.898 0.250
In 0.268 0.417 0.750
In 0.417 0.268 0.250
In 0.583 0.732 0.750
In 0.732 0.583 0.250
In 0.898 0.102 0.750
N 0.000 0.500 0.000
N 0.160 0.670 0.500
N 0.330 0.840 0.000
N 0.500 0.000 0.500
N 0.670 0.160 0.000
N 0.840 0.330 0.500

Calculated values
M_tot	0.00	μB per cell
ρ	6.28	g/cm3
crystal system	monoclinic
final energy	-182.238	eV/cell

(16)
Entry from the Open Quantum Materials Database: a relaxed Nb4InSiN2 crystal (PBE-GGA).

Cell lengths 3.218, 3.218, 13.233 Å; angles 90.00, 90.00, 120.00 degrees
Fractional coordinates of all 8 atoms:
Nb 0.000 0.000 0.143
Nb 0.000 0.000 0.857
Nb 0.667 0.333 0.319
Nb 0.667 0.333 0.681
In 0.000 0.000 0.500
Si 0.667 0.333 0.000
N 0.333 0.667 0.234
N 0.333 0.667 0.766

Calculated values
M_tot	0.01	μB per cell
ρ	7.59	g/cm3
crystal system	hexagonal
final energy	-70.091	eV/cell

(17)
Entry from the Open Quantum Materials Database: a relaxed Ta2Nb4In3N3 crystal (PBE-GGA).

Cell lengths 5.544, 5.544, 14.534 Å; angles 101.03, 101.03, 60.04 degrees
Fractional coordinates of all 24 atoms:
Ta 0.026 0.852 0.581
Ta 0.148 0.974 0.919
Ta 0.852 0.026 0.081
Ta 0.974 0.148 0.419
Nb 0.193 0.369 0.082
Nb 0.314 0.464 0.418
Nb 0.369 0.193 0.582
Nb 0.464 0.314 0.918
Nb 0.536 0.686 0.082
Nb 0.631 0.807 0.418
Nb 0.686 0.536 0.582
Nb 0.807 0.631 0.918
In 0.083 0.250 0.748
In 0.250 0.083 0.248
In 0.417 0.583 0.750
In 0.583 0.417 0.250
In 0.750 0.917 0.752
In 0.917 0.750 0.252
N 0.000 0.500 0.500
N 0.159 0.685 0.000
N 0.315 0.841 0.500
N 0.500 0.000 0.000
N 0.685 0.159 0.500
N 0.841 0.315 0.000

Calculated values
M_tot	0.00	μB per cell
ρ	9.85	g/cm3
crystal system	monoclinic
final energy	-206.760	eV/cell

(18)
Entry from the Open Quantum Materials Database: a relaxed Nb3In3W2N12 crystal (PBE-GGA).

Cell lengths 10.997, 10.997, 10.997 Å; angles 109.47, 109.47, 109.47 degrees
Fractional coordinates of all 80 atoms:
Nb 0.125 0.750 0.875
Nb 0.125 0.875 0.250
Nb 0.250 0.125 0.875
Nb 0.250 0.625 0.375
Nb 0.375 0.250 0.625
Nb 0.375 0.625 0.750
Nb 0.625 0.375 0.250
Nb 0.625 0.750 0.375
Nb 0.750 0.375 0.625
Nb 0.750 0.875 0.125
Nb 0.875 0.125 0.750
Nb 0.875 0.250 0.125
In 0.125 0.250 0.375
In 0.125 0.375 0.750
In 0.250 0.375 0.125
In 0.250 0.875 0.625
In 0.375 0.125 0.250
In 0.375 0.750 0.125
In 0.625 0.250 0.875
In 0.625 0.875 0.750
In 0.750 0.125 0.375
In 0.750 0.625 0.875
In 0.875 0.625 0.250
In 0.875 0.750 0.625
W 0.000 0.000 0.000
W 0.000 0.000 0.500
W 0.000 0.500 0.000
W 0.000 0.500 0.500
W 0.500 0.000 0.000
W 0.500 0.000 0.500
W 0.500 0.500 0.000
W 0.500 0.500 0.500
N 0.029 0.205 0.113
N 0.029 0.324 0.916
N 0.084 0.613 0.408
N 0.084 0.971 0.676
N 0.092 0.705 0.676
N 0.092 0.887 0.416
N 0.113 0.029 0.205
N 0.113 0.584 0.908
N 0.176 0.205 0.592
N 0.176 0.471 0.584
N 0.205 0.113 0.029
N 0.205 0.592 0.176
N 0.295 0.324 0.908
N 0.295 0.471 0.387
N 0.324 0.908 0.295
N 0.324 0.916 0.029
N 0.387 0.295 0.471
N 0.387 0.592 0.916
N 0.408 0.084 0.613
N 0.408 0.824 0.795
N 0.416 0.092 0.887
N 0.416 0.824 0.529
N 0.471 0.387 0.295
N 0.471 0.584 0.176
N 0.529 0.416 0.824
N 0.529 0.613 0.705
N 0.584 0.176 0.471
N 0.584 0.908 0.113
N 0.592 0.176 0.205
N 0.592 0.916 0.387
N 0.613 0.408 0.084
N 0.613 0.705 0.529
N 0.676 0.084 0.971
N 0.676 0.092 0.705
N 0.705 0.529 0.613
N 0.705 0.676 0.092
N 0.795 0.408 0.824
N 0.795 0.887 0.971
N 0.824 0.529 0.416
N 0.824 0.795 0.408
N 0.887 0.416 0.092
N 0.887 0.971 0.795
N 0.908 0.113 0.584
N 0.908 0.295 0.324
N 0.916 0.029 0.324
N 0.916 0.387 0.592
N 0.971 0.676 0.084
N 0.971 0.795 0.887

Calculated values
M_tot	0.01	μB per cell
ρ	7.52	g/cm3
crystal system	cubic
final energy	-659.189	eV/cell

(19)
Entry from the Open Quantum Materials Database: a relaxed Y4Nb2In3N3 crystal (PBE-GGA).

Cell lengths 5.937, 5.937, 15.232 Å; angles 101.23, 101.23, 60.34 degrees
Fractional coordinates of all 24 atoms:
Y 0.036 0.192 0.090
Y 0.130 0.303 0.410
Y 0.192 0.036 0.590
Y 0.303 0.130 0.910
Y 0.697 0.870 0.090
Y 0.808 0.964 0.410
Y 0.870 0.697 0.590
Y 0.964 0.808 0.910
Nb 0.356 0.523 0.070
Nb 0.477 0.644 0.430
Nb 0.523 0.356 0.570
Nb 0.644 0.477 0.930
In 0.128 0.872 0.250
In 0.293 0.417 0.752
In 0.417 0.293 0.252
In 0.583 0.707 0.748
In 0.707 0.583 0.248
In 0.872 0.128 0.750
N 0.000 0.500 0.000
N 0.178 0.662 0.500
N 0.338 0.822 0.000
N 0.500 0.000 0.500
N 0.662 0.178 0.000
N 0.822 0.338 0.500

Calculated values
M_tot	0.01	μB per cell
ρ	6.78	g/cm3
crystal system	monoclinic
final energy	-180.523	eV/cell